No. 1
## Pm2MgAg5 (GGA-PBE)

Data for an optimized crystal structure of Pm2MgAg5.

Unit cell a=5.0510 b=5.0510 c=7.8122 alpha=108.86 beta=108.86 gamma=90.00
Positions (direct):
Pm: 0.7404 0.7404 0.4808
Pm: 0.2596 0.2596 0.5192
Ag: 0.5000 0.5000 0.0000
Ag: 0.3931 0.8931 0.7863
Ag: 0.6069 0.1069 0.2137
Ag: 0.8931 0.3931 0.7863
Ag: 0.1069 0.6069 0.2137
Mg: 0.0000 0.0000 0.0000

* V: 177.3 Å³/cell
* SG: I4/mmm (139)
* formation energy from the elements: -4.235 kcal/mol of atoms

No. 2
## PmMg3Ag (GGA-PBE)

Data for an optimized crystal structure of PmMg3Ag.

Unit cell a=5.0786 b=5.0786 c=5.0786 alpha=90.00 beta=90.00 gamma=90.00
Positions (direct):
Mg: 0.5000 0.0000 0.0000
Mg: 0.0000 0.0000 0.5000
Mg: 0.0000 0.5000 0.0000
Pm: 0.5000 0.5000 0.5000
Ag: 0.0000 0.0000 0.0000

* V: 131.0 Å³/cell
* SG: Pm-3m (221)
* formation energy from the elements: 0.616 kcal/mol of atoms

No. 3
## PmMg9Ag3 (GGA-PBE)

Data for an optimized crystal structure of PmMg9Ag3.

Unit cell a=5.6166 b=7.6165 c=7.6333 alpha=82.37 beta=68.41 gamma=68.84
Positions (direct):
Mg: 0.9954 0.6598 0.3530
Mg: 0.7067 0.7900 0.7824
Mg: 0.4892 0.7900 0.2176
Mg: 0.0046 0.3402 0.6470
Mg: 0.3484 0.6598 0.6470
Mg: 0.2933 0.2100 0.2176
Mg: 0.6516 0.3402 0.3530
Mg: 0.0000 0.5000 0.0000
Mg: 0.5108 0.2100 0.7824
Ag: 0.0000 0.0000 0.5000
Ag: 0.5000 0.5000 0.0000
Ag: 0.5000 0.0000 0.5000
Pm: 0.0000 0.0000 0.0000

* V: 283.2 Å³/cell
* SG: C2/m (12)
* formation energy from the elements: -3.806 kcal/mol of atoms